# meta-GGA SCAN Ag2PCl, single point on PBEsol structure
# **Magnetic moment**: 1.0 μB per formula unit
# **Energy above the lowest structure with this stoichiometry**: 0.2287 eV per atom
# **E**: -20.067 eV per atom
# **Energy relative to the elements, uncorrected**: 0.844 eV per formula unit
data_Ag2PCl
_chemical_formula_sum 'Ag4 P2 Cl2'
_space_group_name_H-M_alt 'I -4 m 2'
_space_group_IT_number 119
_space_group_name_Hall 'I -4 -2'
_cell_length_a 3.6207
_cell_length_b 3.6207
_cell_length_c 11.8052
_cell_angle_alpha 90.00
_cell_angle_beta 90.00
_cell_angle_gamma 90.00
loop_
_atom_site_label
_atom_site_fract_x
_atom_site_fract_y
_atom_site_fract_z
Ag1 0.0000 0.0000 0.0000
Ag2 0.0000 0.5000 0.2500
P1 0.0000 0.5000 0.7500
Cl1 0.0000 0.0000 0.5000